! LiTeSeBr2 GGA-PBE optimized geometry; values from VASP
&SYSTEM
  ibrav = 0, nat = 5, ntyp = 4
/
ATOMIC_SPECIES
Li 6.94 Li.upf
Te 127.60 Te.upf
Se 78.96 Se.upf
Br 79.90 Br.upf
ATOMIC_POSITIONS crystal
Li 0.000 0.000 0.000
Te 0.500 0.500 0.500
Se 0.500 0.500 0.000
Br 0.000 0.500 0.500
Br 0.500 0.000 0.500
CELL_PARAMETERS angstrom
5.652 0.000 0.000
0.000 5.652 0.000
0.000 0.000 5.493
! - N(E_F) (states/eV per atom) = 0.34
! - formation energy (no corrections) (kcal/mol of atoms) = -6.0
! - SG = P4/mmm (123)
! - energy above the lowest structure with this stoichiometry (meV per atom) = 0

=====

! DyYAs2O8 GGA-PBE optimized geometry; values from VASP
&SYSTEM
  ibrav = 0, nat = 12, ntyp = 4
/
ATOMIC_SPECIES
Dy 162.50 Dy.upf
Y 88.91 Y.upf
As 74.92 As.upf
O 16.00 O.upf
ATOMIC_POSITIONS crystal
Dy 0.000 0.000 0.000
Y 0.250 0.750 0.500
As 0.500 0.500 0.000
As 0.750 0.250 0.500
O 0.272 0.673 0.103
O 0.327 0.430 0.598
O 0.418 0.022 0.099
O 0.570 0.169 0.897
O 0.681 0.582 0.604
O 0.831 0.728 0.402
O 0.923 0.319 0.901
O 0.978 0.077 0.396
CELL_PARAMETERS angstrom
-2.526 2.526 5.675
2.526 -2.526 5.675
2.526 2.526 -5.675
! - N(E_F) (states/eV per atom) = 0.00
! - formation energy (no corrections) (kcal/mol of atoms) = -54.2
! - SG = I-4 (82)

=====

! HoScHg4 GGA-PBE optimized geometry; values from VASP
&SYSTEM
  ibrav = 0, nat = 6, ntyp = 3
/
ATOMIC_SPECIES
Ho 164.93 Ho.upf
Sc 44.96 Sc.upf
Hg 200.59 Hg.upf
ATOMIC_POSITIONS crystal
Ho 0.000 0.000 0.000
Sc 0.205 0.500 0.414
Hg 0.332 0.000 0.664
Hg 0.541 0.500 0.086
Hg 0.670 0.000 0.339
Hg 0.867 0.500 0.737
CELL_PARAMETERS angstrom
3.812 0.000 0.000
0.000 5.101 0.000
-1.912 0.000 7.219
! - N(E_F) (states/eV per atom) = 0.54
! - SG = Pm (6)
! - E_form (eV per atom) = -0.329
! - energy above the lowest structure with this stoichiometry (meV per atom) = 0

=====

! CsCd2Cl GGA-PBE optimized geometry; values from VASP
&SYSTEM
  ibrav = 0, nat = 4, ntyp = 3
/
ATOMIC_SPECIES
Cs 132.91 Cs.upf
Cd 112.41 Cd.upf
Cl 35.45 Cl.upf
ATOMIC_POSITIONS crystal
Cs 0.000 0.000 0.000
Cd 0.250 0.250 0.250
Cd 0.750 0.750 0.750
Cl 0.500 0.500 0.500
CELL_PARAMETERS angstrom
0.000 4.326 4.326
4.326 0.000 4.326
4.326 4.326 0.000
! - N(E_F) (states/eV per atom) = 0.00
! - formation energy (no corrections) (kcal/mol of atoms) = -9.9
! - SG = Fm-3m (225)
! - energy above the lowest structure with this stoichiometry (meV per atom) = 119

=====

! Hg3ClF5 GGA-PBE optimized geometry; values from VASP
&SYSTEM
  ibrav = 0, nat = 18, ntyp = 3
/
ATOMIC_SPECIES
Hg 200.59 Hg.upf
Cl 35.45 Cl.upf
F 19.00 F.upf
ATOMIC_POSITIONS crystal
Hg 0.000 0.000 0.000
Hg 0.157 0.492 0.492
Hg 0.331 0.965 0.965
Hg 0.500 0.517 0.517
Hg 0.669 0.965 0.965
Hg 0.843 0.492 0.492
Cl 0.329 0.290 0.290
Cl 0.671 0.290 0.290
F 0.000 0.297 0.297
F 0.000 0.669 0.669
F 0.161 0.168 0.796
F 0.161 0.796 0.168
F 0.331 0.682 0.682
F 0.500 0.165 0.790
F 0.500 0.790 0.165
F 0.669 0.682 0.682
F 0.839 0.168 0.796
F 0.839 0.796 0.168
CELL_PARAMETERS angstrom
11.215 0.000 0.000
0.000 3.805 4.055
0.000 -3.805 4.055
! - formation energy (no corrections) (kcal/mol of atoms) = -29.2
! - SG = Amm2 (38)
! - energy above the lowest structure with this stoichiometry (meV per atom) = 0

=====

! CoSb2Mo GGA-PBE optimized geometry; values from VASP
&SYSTEM
  ibrav = 0, nat = 4, ntyp = 3
/
ATOMIC_SPECIES
Co 58.93 Co.upf
Sb 121.76 Sb.upf
Mo 95.94 Mo.upf
ATOMIC_POSITIONS crystal
Co 0.000 0.000 0.000
Sb 0.250 0.250 0.250
Sb 0.500 0.500 0.500
Mo 0.750 0.750 0.750
CELL_PARAMETERS angstrom
0.000 3.352 3.352
3.352 0.000 3.352
3.352 3.352 0.000
! - N(E_F) (states/eV per atom) = 1.33
! - formation energy (no corrections) (kcal/mol of atoms) = 17.8
! - SG = F-43m (216)

=====

! Nd5Dy2In4 GGA-PBE optimized geometry; values from VASP
&SYSTEM
  ibrav = 0, nat = 11, ntyp = 3
/
ATOMIC_SPECIES
Nd 144.24 Nd.upf
Dy 162.50 Dy.upf
In 114.82 In.upf
ATOMIC_POSITIONS crystal
Nd 0.000 0.000 0.000
Nd 0.039 0.000 0.335
Nd 0.342 0.000 0.859
Nd 0.658 0.000 0.141
Nd 0.961 0.000 0.665
Dy 0.418 0.000 0.362
Dy 0.582 0.000 0.638
In 0.258 0.500 0.576
In 0.299 0.500 0.125
In 0.701 0.500 0.875
In 0.742 0.500 0.424
CELL_PARAMETERS angstrom
8.806 0.000 0.000
0.000 3.458 0.000
-1.023 0.000 10.708
! - N(E_F) (states/eV per atom) = 1.15
! - SG = P2/m (10)
! - E_form (eV per atom) = -0.291
! - energy above the lowest structure with this stoichiometry (meV per atom) = 0

=====

! YScMn GGA-PBE optimized geometry; values from VASP
&SYSTEM
  ibrav = 0, nat = 3, ntyp = 3
/
ATOMIC_SPECIES
Y 88.91 Y.upf
Sc 44.96 Sc.upf
Mn 54.94 Mn.upf
ATOMIC_POSITIONS crystal
Y 0.000 0.000 0.000
Sc 0.333 0.667 0.604
Mn 0.667 0.333 0.318
CELL_PARAMETERS angstrom
3.292 0.000 0.000
-1.646 2.851 0.000
0.000 0.000 7.457
! - N(E_F) (states/eV per atom) = 1.25
! - SG = P3m1 (156)
! - E_form (eV per atom) = 0.319
! - energy above the lowest structure with this stoichiometry (meV per atom) = 204

=====

! La2InSbRu GGA-PBE optimized geometry; values from VASP
&SYSTEM
  ibrav = 0, nat = 5, ntyp = 4
/
ATOMIC_SPECIES
La 138.91 La.upf
In 114.82 In.upf
Sb 121.76 Sb.upf
Ru 101.07 Ru.upf
ATOMIC_POSITIONS crystal
La 0.000 0.500 0.000
La 0.500 0.000 0.000
In 0.000 0.000 0.500
Sb 0.500 0.500 0.500
Ru 0.000 0.000 0.000
CELL_PARAMETERS angstrom
5.399 0.000 0.000
0.000 5.399 0.000
0.000 0.000 5.167
! - N(E_F) (states/eV per atom) = 0.58
! - formation energy (no corrections) (kcal/mol of atoms) = -13.6
! - SG = P4/mmm (123)

=====

! MoIrAu4 GGA-PBE optimized geometry; values from VASP
&SYSTEM
  ibrav = 0, nat = 6, ntyp = 3
/
ATOMIC_SPECIES
Mo 95.94 Mo.upf
Ir 192.22 Ir.upf
Au 196.97 Au.upf
ATOMIC_POSITIONS crystal
Mo 0.000 0.000 0.000
Ir 0.250 0.250 0.250
Au 0.125 0.625 0.625
Au 0.625 0.125 0.625
Au 0.625 0.625 0.125
Au 0.625 0.625 0.625
CELL_PARAMETERS angstrom
0.000 3.788 3.788
3.788 0.000 3.788
3.788 3.788 0.000
! - N(E_F) (states/eV per atom) = 1.20
! - SG = F-43m (216)
! - E_form (eV per atom) = 0.740

=====

! YTi2Tl GGA-PBE optimized geometry; values from VASP
&SYSTEM
  ibrav = 0, nat = 8, ntyp = 3
/
ATOMIC_SPECIES
Y 88.91 Y.upf
Ti 47.87 Ti.upf
Tl 204.38 Tl.upf
ATOMIC_POSITIONS crystal
Y 0.000 0.000 0.000
Y 0.750 0.250 0.500
Ti 0.150 0.125 0.525
Ti 0.375 0.850 0.975
Ti 0.600 0.625 0.475
Ti 0.875 0.400 0.025
Tl 0.250 0.750 0.500
Tl 0.500 0.500 0.000
CELL_PARAMETERS angstrom
-4.014 4.014 3.007
4.014 -4.014 3.007
4.014 4.014 -3.007
! - N(E_F) (states/eV per atom) = 0.93
! - SG = I-42d (122)
! - E_form (eV per atom) = 0.494
! - energy above the lowest structure with this stoichiometry (meV per atom) = 249

=====

! Sr3Zn4Ir4 GGA-PBE optimized geometry; values from VASP
&SYSTEM
  ibrav = 0, nat = 11, ntyp = 3
/
ATOMIC_SPECIES
Sr 87.62 Sr.upf
Zn 65.41 Zn.upf
Ir 192.22 Ir.upf
ATOMIC_POSITIONS crystal
Sr 0.000 0.500 0.500
Sr 0.500 0.000 0.500
Sr 0.500 0.500 0.000
Zn 0.000 0.000 0.394
Zn 0.000 0.394 0.000
Zn 0.394 0.000 0.000
Zn 0.606 0.606 0.606
Ir 0.000 0.000 0.758
Ir 0.000 0.758 0.000
Ir 0.242 0.242 0.242
Ir 0.758 0.000 0.000
CELL_PARAMETERS angstrom
-3.923 3.923 3.923
3.923 -3.923 3.923
3.923 3.923 -3.923
! - N(E_F) (states/eV per atom) = 0.06
! - SG = I-43m (217)
! - E_form (eV per atom) = -0.315

=====

! Tm7Tl2Co2 GGA-PBE optimized geometry; values from VASP
&SYSTEM
  ibrav = 0, nat = 11, ntyp = 3
/
ATOMIC_SPECIES
Tm 168.93 Tm.upf
Tl 204.38 Tl.upf
Co 58.93 Co.upf
ATOMIC_POSITIONS crystal
Tm 0.000 0.000 0.000
Tm 0.000 0.500 0.240
Tm 0.000 0.500 0.760
Tm 0.500 0.000 0.240
Tm 0.500 0.000 0.760
Tm 0.500 0.500 0.229
Tm 0.500 0.500 0.771
Tl 0.186 0.186 0.500
Tl 0.814 0.814 0.500
Co 0.292 0.708 0.000
Co 0.708 0.292 0.000
CELL_PARAMETERS angstrom
3.894 -5.404 0.000
3.894 5.404 0.000
0.000 0.000 6.959
! - N(E_F) (states/eV per atom) = 0.90
! - SG = Cmmm (65)
! - E_form (eV per atom) = -0.148

=====

! TcPbCl2 GGA-PBE optimized geometry; values from VASP
&SYSTEM
  ibrav = 0, nat = 4, ntyp = 3
/
ATOMIC_SPECIES
Tc 98.00 Tc.upf
Pb 207.20 Pb.upf
Cl 35.45 Cl.upf
ATOMIC_POSITIONS crystal
Tc 0.000 0.000 0.000
Pb 0.500 0.000 0.500
Cl 0.000 0.500 0.500
Cl 0.500 0.500 0.000
CELL_PARAMETERS angstrom
3.337 0.000 0.000
0.000 4.665 0.000
0.000 0.000 5.800
! - N(E_F) (states/eV per atom) = 0.30
! - formation energy (no corrections) (kcal/mol of atoms) = 5.6
! - SG = Pmmm (47)
! - energy above the lowest structure with this stoichiometry (meV per atom) = 410

=====

! SrZrInP2 GGA-PBE optimized geometry; values from VASP
&SYSTEM
  ibrav = 0, nat = 5, ntyp = 4
/
ATOMIC_SPECIES
Sr 87.62 Sr.upf
Zr 91.22 Zr.upf
In 114.82 In.upf
P 30.97 P.upf
ATOMIC_POSITIONS crystal
Sr 0.000 0.000 0.000
Zr 0.500 0.500 0.500
In 0.500 0.500 0.000
P 0.000 0.500 0.500
P 0.500 0.000 0.500
CELL_PARAMETERS angstrom
5.099 0.000 0.000
0.000 5.099 0.000
0.000 0.000 5.451
! - N(E_F) (states/eV per atom) = 0.78
! - SG = P4/mmm (123)
! - E_form (eV per atom) = -0.306

=====

! YNi2B GGA-PBE optimized geometry; values from VASP
&SYSTEM
  ibrav = 0, nat = 8, ntyp = 3
/
ATOMIC_SPECIES
Y 88.91 Y.upf
Ni 58.69 Ni.upf
B 10.81 B.upf
ATOMIC_POSITIONS crystal
Y 0.117 0.883 0.750
Y 0.883 0.117 0.250
Ni 0.187 0.473 0.927
Ni 0.473 0.187 0.427
Ni 0.527 0.813 0.573
Ni 0.813 0.527 0.073
B 0.496 0.504 0.750
B 0.504 0.496 0.250
CELL_PARAMETERS angstrom
2.494 -5.179 0.000
2.494 5.179 0.000
-2.440 0.000 4.198
! - N(E_F) (states/eV per atom) = 0.55
! - SG = C2/c (15)
! - E_form (eV per atom) = -0.375

=====

! Nd4Si2Br5 GGA-PBE optimized geometry; values from VASP
&SYSTEM
  ibrav = 0, nat = 11, ntyp = 3
/
ATOMIC_SPECIES
Nd 144.24 Nd.upf
Si 28.09 Si.upf
Br 79.90 Br.upf
ATOMIC_POSITIONS crystal
Nd 0.013 0.013 0.284
Nd 0.339 0.339 0.544
Nd 0.661 0.661 0.456
Nd 0.987 0.987 0.716
Si 0.451 0.451 0.464
Si 0.549 0.549 0.536
Br 0.139 0.139 0.205
Br 0.216 0.216 0.676
Br 0.500 0.500 0.000
Br 0.784 0.784 0.324
Br 0.861 0.861 0.795
CELL_PARAMETERS angstrom
11.671 -2.095 0.000
11.671 2.095 0.000
-0.744 0.000 8.324
! - N(E_F) (states/eV per atom) = 0.34
! - formation energy (no corrections) (kcal/mol of atoms) = -30.3
! - SG = C2/m (12)

=====

! CePrThSn GGA-PBE optimized geometry; values from VASP
&SYSTEM
  ibrav = 0, nat = 4, ntyp = 4
/
ATOMIC_SPECIES
Ce 140.12 Ce.upf
Pr 140.91 Pr.upf
Th 232.04 Th.upf
Sn 118.71 Sn.upf
ATOMIC_POSITIONS crystal
Ce 0.000 0.000 0.000
Pr 0.750 0.750 0.750
Th 0.250 0.250 0.250
Sn 0.500 0.500 0.500
CELL_PARAMETERS angstrom
0.000 3.907 3.907
3.907 0.000 3.907
3.907 3.907 0.000
! - N(E_F) (states/eV per atom) = 2.03
! - SG = F-43m (216)
! - E_form (eV per atom) = -0.138

=====

! Tb2Zn5In GGA-PBE optimized geometry; values from VASP
&SYSTEM
  ibrav = 0, nat = 16, ntyp = 3
/
ATOMIC_SPECIES
Tb 158.93 Tb.upf
Zn 65.41 Zn.upf
In 114.82 In.upf
ATOMIC_POSITIONS crystal
Tb 0.000 0.000 0.000
Tb 0.000 0.000 0.500
Tb 0.203 0.797 0.750
Tb 0.797 0.203 0.250
Zn 0.188 0.812 0.109
Zn 0.188 0.812 0.391
Zn 0.346 0.654 0.018
Zn 0.346 0.654 0.482
Zn 0.392 0.608 0.750
Zn 0.608 0.392 0.250
Zn 0.654 0.346 0.518
Zn 0.654 0.346 0.982
Zn 0.812 0.188 0.609
Zn 0.812 0.188 0.891
In 0.447 0.553 0.250
In 0.553 0.447 0.750
CELL_PARAMETERS angstrom
2.182 -8.132 0.000
2.182 8.132 0.000
0.000 0.000 9.060
! - N(E_F) (states/eV per atom) = 0.71
! - SG = Cmcm (63)
! - E_form (eV per atom) = -0.345

=====

! LiIn4Bi3 GGA-PBE optimized geometry; values from VASP
&SYSTEM
  ibrav = 0, nat = 16, ntyp = 3
/
ATOMIC_SPECIES
Li 6.94 Li.upf
In 114.82 In.upf
Bi 208.98 Bi.upf
ATOMIC_POSITIONS crystal
Li 0.000 0.155 0.000
Li 0.500 0.845 0.500
In 0.000 0.380 0.505
In 0.000 0.607 0.006
In 0.249 0.624 0.504
In 0.251 0.376 0.004
In 0.500 0.393 0.506
In 0.500 0.620 0.005
In 0.749 0.376 0.004
In 0.751 0.624 0.504
Bi 0.000 0.941 0.501
Bi 0.246 0.846 0.002
Bi 0.254 0.154 0.502
Bi 0.500 0.059 0.001
Bi 0.746 0.154 0.502
Bi 0.754 0.846 0.002
CELL_PARAMETERS angstrom
9.282 0.000 0.000
0.000 10.668 0.000
0.000 0.000 4.615
! - N(E_F) (states/eV per atom) = 0.45
! - SG = Pmn2_1 (31)
! - E_form (eV per atom) = -0.037